i | CoTcB: relaxed, PBE.

As for the total magnetization: 0.00 μB/cell. The calculated volume comes out at 10.01 Å³/atom.

The space group is Pmma (No. 51) and the conventional cell measures 9.589, 3.393 and 5.540 Å, with angles of 90.00, 90.00 and 90.00 degrees. The inequivalent atoms are Co at (0.120, 0.000, 0.067), Co at (0.250, 0.000, 0.701), Tc at (0.044, 0.500, 0.732), Tc at (0.250, 0.500, 0.360), B at (0.090, 0.000, 0.447) and B at (0.250, 0.500, 0.951).



ii | CoTcB: relaxed, PBE.

As for the total magnetization: 0.00 μB/cell. The calculated volume comes out at 10.19 Å³/atom.

The space group is P2_1/m (No. 11) and the conventional cell measures 4.074, 3.433 and 4.544 Å, with angles of 90.00, 105.78 and 90.00 degrees. The inequivalent atoms are Co at (0.037, 0.250, 0.186), Tc at (0.445, 0.250, 0.767) and B at (0.131, 0.750, 0.441).



iii | CoTcB: relaxed, PBE.

As for the total magnetization: 6.94 μB/cell. The calculated volume comes out at 10.38 Å³/atom.

The space group is Cmcm (No. 63) and the conventional cell measures 3.150, 13.232 and 2.988 Å, with angles of 90.00, 90.00 and 90.00 degrees. The inequivalent atoms are Co at (0.000, 0.211, 0.250), Tc at (0.000, 0.410, 0.250) and B at (0.000, 0.039, 0.250).



iv | CoTcB: relaxed, PBE.

As for the total magnetization: 0.66 μB/cell. The calculated volume comes out at 10.10 Å³/atom.

The space group is I4mm (No. 107) and the conventional cell measures 2.617, 2.617 and 8.854 Å, with angles of 90.00, 90.00 and 90.00 degrees. The inequivalent atoms are Co at (0.000, 0.000, 0.000), Tc at (0.000, 0.000, 0.714) and B at (0.000, 0.000, 0.381).



Least stable of them? iv.